A plane-wave DFT calculation with GGA-PBE was carried out for In2CoSnBi after structural relaxation.

Summary:
- Density of states at the Fermi level: 0.84 states/eV/atom
- Energy: -3.97 eV per atom
- Energy of formation from the pure elements: 0.6 eV/f.u.
- Space group: P4/mmm, No. 123

Unit cell a=5.0722 b=5.0722 c=4.9106 alpha=90.00 beta=90.00 gamma=90.00
With the nearest neighbours (Å) after each atom.
Sites, in units of the cell vectors:
1 In 0.0000 0.5000 0.0000  2 Co 2.54
2 In 0.5000 0.0000 0.0000  2 Co 2.54
3 Co 0.0000 0.0000 0.0000  2 Sn 2.46, 4 In 2.54
4 Sn 0.0000 0.0000 0.5000  2 Co 2.46
5 Bi 0.5000 0.5000 0.5000  8 In 3.53, 4 Sn 3.59